# TlZn2Ni (PBE, relaxed)
data_TlZn2Ni
_chemical_formula_sum 'Tl2 Zn4 Ni2'
_cell_length_a 5.407
_cell_length_b 7.870
_cell_length_c 3.153
_cell_angle_alpha 90.00
_cell_angle_beta 90.00
_cell_angle_gamma 90.00
_space_group_name_H-M_alt 'C m m m'
_space_group_IT_number 65
_space_group_name_Hall '-C 2 2'
loop_
_atom_site_label
_atom_site_type_symbol
_atom_site_fract_x
_atom_site_fract_y
_atom_site_fract_z
Tl1 Tl 0.000 0.000 0.000
Zn1 Zn 0.250 0.250 0.500
Ni1 Ni 0.000 0.500 0.000
# - formation energy from the elements (meV per atom) = 250
# - crystal system = orthorhombic
# - raw total energy (eV per atom) = -2.424